Record 1
This record from the Alexandria database describes a relaxed Cs2SbIBr6 crystal. The functional is PBE.

Calculated values
Excess energy over the best structure of this formula in the dataset, eV/f.u.: 0.32
Magnetic moment, μB per formula unit: 0.51
Density of states at the Fermi level, states/eV per cell: 12.65
Final energy, Ry per atom: -0.1960
SG: R-3m, No. 166
Energy relative to the elements, uncorrected, eV per atom: -0.92

Lattice parameters (Å, degrees): 18.6008 18.6008 18.6008 24.34 24.34 24.34
Last column: nearest neighbours and their distance in Å.
Sites, in units of the cell vectors:
Cs 0.1377 0.1377 0.1377  9 Br 3.84-3.92
Cs 0.3047 0.3047 0.3047  9 Br 3.92-3.93
Cs 0.6953 0.6953 0.6953  9 Br 3.92-3.93
Cs 0.8623 0.8623 0.8623  9 Br 3.84-3.92
Sb 0.0000 0.0000 0.0000  6 Br 2.69
Sb 0.5000 0.5000 0.5000  6 Br 2.72
I 0.4065 0.4065 0.4065  3 Br 3.34
I 0.5935 0.5935 0.5935  3 Br 3.34
Br 0.1408 0.6373 0.6373  1 Sb 2.72
Br 0.1893 0.1893 0.7099  1 Sb 2.69
Br 0.1893 0.7099 0.1893  1 Sb 2.69
Br 0.2901 0.8107 0.8107  1 Sb 2.69
Br 0.3627 0.3627 0.8592  1 Sb 2.72
Br 0.3627 0.8592 0.3627  1 Sb 2.72
Br 0.6373 0.1408 0.6373  1 Sb 2.72
Br 0.6373 0.6373 0.1408  1 Sb 2.72
Br 0.7099 0.1893 0.1893  1 Sb 2.69
Br 0.8107 0.2901 0.8107  1 Sb 2.69
Br 0.8107 0.8107 0.2901  1 Sb 2.69
Br 0.8592 0.3627 0.3627  1 Sb 2.72

=====

Record 2
This record from the Alexandria database describes a relaxed Sr4LaSb crystal. The functional is PBE.

Calculated values
Magnetic moment, μB per formula unit: 0.89
Density of states at the Fermi level, states/eV per cell: 5.86
Final energy, Ry per atom: -0.1748
SG: F-43m, No. 216
Energy relative to the elements, uncorrected, eV per atom: 0.25

Lattice parameters (Å, degrees): 7.2178 7.2178 7.2178 60.00 60.00 60.00
Last column: nearest neighbours and their distance in Å.
Sites, in units of the cell vectors:
Sr 0.1249 0.1249 0.1249  6 Sr 3.61
Sr 0.1249 0.1249 0.6252  6 Sr 3.61
Sr 0.1249 0.6252 0.1249  6 Sr 3.61
Sr 0.6252 0.1249 0.1249  6 Sr 3.61
La 0.7500 0.7500 0.7500  12 Sr 4.23, 4 Sb 4.42
Sb 0.5000 0.5000 0.5000  12 Sr 4.23, 4 La 4.42

=====

Record 3
This record from the Alexandria database describes a relaxed Re2HgSb crystal. The functional is PBE.

Calculated values
Excess energy over the best structure of this formula in the dataset, eV/f.u.: 1.25
Magnetic moment, μB per formula unit: 0.00
Density of states at the Fermi level, states/eV per cell: 3.04
Final energy, Ry per atom: -0.4902
SG: Cmm2, No. 35
Energy relative to the elements, uncorrected, eV per atom: 0.66

Lattice parameters (Å, degrees): 2.9249 2.9249 10.8379 90.00 90.00 119.29
Last column: nearest neighbours and their distance in Å.
Sites, in units of the cell vectors:
Re 0.0000 0.0000 0.0000  2 Re 2.55
Re 0.5000 0.5000 0.1917  2 Re 2.55
Hg 0.5000 0.5000 0.7527  6 Hg 2.92-2.96, 2 Re 3.06
Sb 0.0000 0.0000 0.4235  2 Re 2.92, 6 Sb 2.92-2.96